Here is an optimized crystal structure of Ac4Ge2PBr from Alexandria. Energies are from PBE.

a = 7.841 Å, b = 4.555 Å, c = 7.979 Å
α = 90.00°, β = 109.20°, γ = 90.00°
Atoms (fractional coordinates):
1 Ac 0.233 0.000 0.229
2 Ac 0.248 0.500 0.762
3 Ac 0.752 0.500 0.238
4 Ac 0.767 0.000 0.771
5 Ge 0.000 0.000 0.500
6 Ge 0.000 0.500 0.000
7 P 0.500 0.000 0.000
8 Br 0.500 0.500 0.500

## Properties
Raw total energy in eV/atom: -5.20
Size of the total moment in μB per atom: 0.000
ΔE_f (raw) in meV/atom: -1108.0